--- A ---
VASP calculation (PBE) on an optimized crystal structure of AlFe2PdCl.

```
AlFe2PdCl
1.0
-1.724 3.325 -1.778
0.964 -1.786 -4.276
-3.675 -1.919 -0.027
Al Fe Pd Cl
1 2 1 1
Direct
0.500 0.500 0.500
0.000 0.000 0.500
0.500 0.000 0.000
0.000 0.500 0.000
0.000 0.000 0.000
```

spin magnetization = 4.17 Bohr magnetons per cell
volume = 16.27 Å³/atom

--- B ---
VASP calculation (PBE) on an optimized crystal structure of AlFe2PdCl.

```
AlFe2PdCl
1.0
-3.230 3.270 0.003
-0.028 -0.032 4.572
3.270 3.230 0.043
Al Fe Pd Cl
1 2 1 1
Direct
0.000 0.000 0.000
0.000 0.000 0.500
0.500 0.000 0.000
0.500 0.500 0.500
0.000 0.500 0.000
```

spin magnetization = 5.57 Bohr magnetons per cell
volume = 19.32 Å³/atom

Stability summary - winner: A; margin: 384 meV/atom.

--- A ---
VASP calculation (PBE) on an optimized crystal structure of AlFeSCl.

```
AlFeSCl
1.0
4.077 0.000 -0.066
0.000 3.505 0.000
-0.164 0.000 5.538
S Al Fe Cl
1 1 1 1
Direct
0.063 0.000 0.643
0.421 0.500 0.730
0.576 0.000 0.449
0.574 0.500 0.128
```

spin magnetization = 2.04 Bohr magnetons per cell
volume = 19.77 Å³/atom

--- B ---
VASP calculation (PBE) on an optimized crystal structure of AlFeSCl.

```
AlFeSCl
1.0
-2.541 -5.703 4.828
2.779 -0.181 1.249
-1.212 5.879 3.546
S Al Fe Cl
2 2 2 2
Direct
0.303 0.000 0.949
0.303 0.500 0.449
0.573 0.000 0.616
0.573 0.500 0.116
0.375 0.000 0.271
0.375 0.500 0.771
0.798 0.000 0.138
0.798 0.500 0.638
```

spin magnetization = 0.00 Bohr magnetons per cell
volume = 20.37 Å³/atom

Stability summary - winner: B; margin: 73 meV/atom.

--- A ---
VASP calculation (PBE) on an optimized crystal structure of AlFeSCl2.

```
AlFeSCl2
1.0
-2.876 2.274 3.217
-3.938 -1.778 -2.264
0.102 -3.414 2.504
S Al Fe Cl
1 1 1 2
Direct
0.000 0.000 0.500
0.500 0.500 0.500
0.000 0.000 0.000
0.000 0.500 0.000
0.500 0.000 0.000
```

spin magnetization = 0.00 Bohr magnetons per cell
volume = 20.15 Å³/atom

--- B ---
VASP calculation (PBE) on an optimized crystal structure of AlFeSCl2.

```
AlFeSCl2
1.0
4.626 0.000 0.000
0.000 4.626 0.000
0.000 0.000 4.785
S Al Fe Cl
1 1 1 2
Direct
0.000 0.000 0.500
0.000 0.000 0.000
0.500 0.500 0.500
0.000 0.500 0.000
0.500 0.000 0.000
```

spin magnetization = 3.68 Bohr magnetons per cell
volume = 20.48 Å³/atom

Stability summary - winner: B; margin: 26 meV/atom.

--- A ---
VASP calculation (PBE) on an optimized crystal structure of AlGaCl4.

```
AlGaCl4
1.0
-0.567 -1.284 -4.908
5.407 -3.464 2.936
-10.569 -6.629 2.955
Al Ga Cl
2 2 8
Direct
0.091 0.182 0.740
0.909 0.818 0.260
0.179 0.357 0.195
0.821 0.643 0.805
0.067 0.133 0.373
0.107 0.214 0.911
0.762 0.524 0.307
0.602 0.204 0.734
0.398 0.796 0.266
0.238 0.476 0.693
0.893 0.786 0.089
0.933 0.867 0.627
```

spin magnetization = 0.00 Bohr magnetons per cell
volume = 34.22 Å³/atom

--- B ---
VASP calculation (PBE) on an optimized crystal structure of AlGaCl4.

```
AlGaCl4
1.0
10.184 0.000 0.000
0.000 7.335 0.126
0.000 6.921 10.152
Al Ga Cl
4 4 16
Direct
0.526 0.437 0.311
0.026 0.563 0.189
0.474 0.563 0.689
0.974 0.437 0.811
0.280 0.857 0.259
0.780 0.143 0.241
0.720 0.143 0.741
0.220 0.857 0.759
0.947 0.795 0.688
0.447 0.205 0.812
0.053 0.205 0.312
0.553 0.795 0.188
0.696 0.261 0.434
0.196 0.739 0.066
0.304 0.739 0.566
0.804 0.261 0.934
0.999 0.688 0.309
0.499 0.312 0.191
0.001 0.312 0.691
0.501 0.688 0.809
0.647 0.618 0.570
0.147 0.382 0.930
0.353 0.382 0.430
0.853 0.618 0.070
```

spin magnetization = 0.00 Bohr magnetons per cell
volume = 31.23 Å³/atom

Stability summary - winner: B; margin: 102 meV/atom.

--- A ---
VASP calculation (PBE) on an optimized crystal structure of AlGa3Cl.

```
AlGa3Cl
1.0
5.247 0.000 0.000
0.000 5.247 0.000
0.000 0.000 5.247
Al Ga Cl
1 3 1
Direct
0.500 0.500 0.500
0.000 0.500 0.000
0.000 0.000 0.500
0.500 0.000 0.000
0.000 0.000 0.000
```

spin magnetization = 0.00 Bohr magnetons per cell
volume = 28.89 Å³/atom

--- B ---
VASP calculation (PBE) on an optimized crystal structure of AlGa3Cl.

```
AlGa3Cl
1.0
-0.191 3.878 3.260
-4.350 -1.798 1.884
2.597 -2.727 3.395
Al Ga Cl
1 3 1
Direct
0.000 0.000 0.000
0.000 0.500 0.000
0.000 0.000 0.500
0.500 0.000 0.000
0.500 0.500 0.500
```

spin magnetization = 0.00 Bohr magnetons per cell
volume = 26.07 Å³/atom

Stability summary - winner: B; margin: 364 meV/atom.

--- A ---
VASP calculation (PBE) on an optimized crystal structure of AlGa2Cl.

```
AlGa2Cl
1.0
-2.324 2.016 5.059
-5.343 0.223 -2.543
-4.978 -4.904 3.134
Al Ga Cl
2 4 2
Direct
0.500 0.500 0.000
0.250 0.750 0.500
0.586 0.125 0.250
0.164 0.625 0.250
0.375 0.414 0.750
0.875 0.836 0.750
0.000 0.000 0.000
0.750 0.250 0.500
```

spin magnetization = 0.00 Bohr magnetons per cell
volume = 28.10 Å³/atom

--- B ---
VASP calculation (PBE) on an optimized crystal structure of AlGa2Cl.

```
AlGa2Cl
1.0
4.538 -1.703 -0.608
0.740 -4.773 -0.731
1.440 -1.606 -4.383
Al Ga Cl
1 2 1
Direct
0.000 0.000 0.000
0.250 0.250 0.250
0.750 0.750 0.750
0.500 0.500 0.500
```

spin magnetization = 0.00 Bohr magnetons per cell
volume = 20.61 Å³/atom

Stability summary - winner: A; margin: 126 meV/atom.

--- A ---
VASP calculation (PBE) on an optimized crystal structure of Al2GaCl.

```
Al2GaCl
1.0
0.825 -1.341 4.499
-2.759 1.645 3.522
-3.043 -2.928 2.210
Al Ga Cl
2 1 1
Direct
0.250 0.250 0.250
0.750 0.750 0.750
0.500 0.500 0.500
0.000 0.000 0.000
```

spin magnetization = 0.00 Bohr magnetons per cell
volume = 19.14 Å³/atom

--- B ---
VASP calculation (PBE) on an optimized crystal structure of Al2GaCl.

```
Al2GaCl
1.0
-0.314 4.559 -3.591
-1.050 -3.582 -4.455
-6.804 0.926 -2.932
Al Ga Cl
4 2 2
Direct
0.666 0.125 0.250
0.084 0.625 0.250
0.375 0.334 0.750
0.875 0.916 0.750
0.000 0.000 0.000
0.750 0.250 0.500
0.500 0.500 0.000
0.250 0.750 0.500
```

spin magnetization = 0.00 Bohr magnetons per cell
volume = 26.32 Å³/atom

Stability summary - winner: B; margin: 134 meV/atom.

--- A ---
VASP calculation (PBE) on an optimized crystal structure of Al3GaCl.

```
Al3GaCl
1.0
-4.492 1.604 -1.590
0.931 -1.909 -4.557
-2.057 -4.366 1.408
Al Ga Cl
3 1 1
Direct
0.000 0.500 0.000
0.000 0.000 0.500
0.500 0.000 0.000
0.000 0.000 0.000
0.500 0.500 0.500
```

spin magnetization = 0.00 Bohr magnetons per cell
volume = 25.41 Å³/atom

--- B ---
VASP calculation (PBE) on an optimized crystal structure of Al3GaCl.

```
Al3GaCl
1.0
5.038 0.000 0.000
0.000 5.038 0.000
0.000 0.000 5.038
Al Ga Cl
3 1 1
Direct
0.000 0.500 0.000
0.000 0.000 0.500
0.500 0.000 0.000
0.500 0.500 0.500
0.000 0.000 0.000
```

spin magnetization = 0.00 Bohr magnetons per cell
volume = 25.58 Å³/atom

Stability summary - winner: A; margin: 295 meV/atom.